This record from the Alexandria database describes LaSmPd6 after structural relaxation. The functional is PBE-GGA.

Computed properties:
- Crystal system: tetragonal
- Space group: P4/mmm (123)
- DFT total energy: -5.899 eV/atom
- D(E_F): 5.19 states/eV per cell

POSCAR file:
```
LaSmPd6
1.0
-1.820 -2.779 2.581
3.676 -1.998 0.441
1.865 4.879 6.567
Pd Sm La
6 1 1
Direct
0.000 0.500 0.746
0.500 0.000 0.746
0.000 0.500 0.254
0.500 0.000 0.254
0.500 0.500 0.000
0.500 0.500 0.500
0.000 0.000 0.500
0.000 0.000 0.000
```

***

This record from the Alexandria database describes LaSm3Pd12 after structural relaxation. The functional is PBE-GGA.

Computed properties:
- Crystal system: tetragonal
- Space group: P4/mmm (123)
- DFT total energy: -5.893 eV/atom
- D(E_F): 9.22 states/eV per cell

POSCAR file:
```
LaSm3Pd12
1.0
-0.790 -2.739 3.060
4.068 -0.948 0.202
2.253 12.112 11.422
Pd La Sm
12 1 3
Direct
0.500 0.500 0.749
0.500 0.000 0.127
0.500 0.000 0.873
0.000 0.500 0.127
0.500 0.000 0.624
0.000 0.500 0.376
0.500 0.500 0.251
0.500 0.500 0.000
0.500 0.000 0.376
0.500 0.500 0.500
0.000 0.500 0.624
0.000 0.500 0.873
0.000 0.000 0.000
0.000 0.000 0.748
0.000 0.000 0.500
0.000 0.000 0.252
```

***

This record from the Alexandria database describes La2SmPd after structural relaxation. The functional is PBE-GGA.

Computed properties:
- Crystal system: trigonal
- Space group: R-3m (166)
- DFT total energy: -5.231 eV/atom
- D(E_F): 4.71 states/eV per cell

POSCAR file:
```
La2SmPd
1.0
3.910 0.000 0.000
1.955 3.387 0.000
1.955 1.129 9.825
La Sm Pd
2 1 1
Direct
0.732 0.732 0.805
0.268 0.268 0.195
0.500 0.500 0.500
0.000 0.000 0.000
```

***

This record from the Alexandria database describes La3SmPd2 after structural relaxation. The functional is PBE-GGA.

Computed properties:
- Crystal system: triclinic
- Space group: P-1 (2)
- DFT total energy: -5.448 eV/atom
- D(E_F): 8.94 states/eV per cell

POSCAR file:
```
La3SmPd2
1.0
4.732 0.001 -1.373
-0.358 4.398 -1.244
-0.119 0.023 8.470
Sm La Pd
1 3 2
Direct
0.000 0.000 0.000
0.500 0.500 0.000
0.813 0.311 0.624
0.187 0.689 0.376
0.366 0.873 0.733
0.634 0.127 0.267
```

***

This record from the Alexandria database describes La3SmPd12 after structural relaxation. The functional is PBE-GGA.

Computed properties:
- Crystal system: tetragonal
- Space group: P4/mmm (123)
- DFT total energy: -5.914 eV/atom
- D(E_F): 8.30 states/eV per cell

POSCAR file:
```
La3SmPd12
1.0
-1.333 -1.868 3.535
3.080 -2.856 -0.348
10.212 9.906 9.084
Pd La Sm
12 3 1
Direct
0.000 0.500 0.626
0.000 0.500 0.374
0.500 0.500 0.000
0.500 0.000 0.374
0.000 0.500 0.877
0.500 0.500 0.500
0.500 0.000 0.877
0.500 0.500 0.249
0.000 0.500 0.123
0.500 0.000 0.123
0.500 0.000 0.626
0.500 0.500 0.751
0.000 0.000 0.247
0.000 0.000 0.753
0.000 0.000 0.500
0.000 0.000 0.000
```

***

This record from the Alexandria database describes LaSm2Pd after structural relaxation. The functional is PBE-GGA.

Computed properties:
- Crystal system: trigonal
- Space group: R-3m (166)
- DFT total energy: -4.997 eV/atom
- D(E_F): 5.90 states/eV per cell

POSCAR file:
```
LaSm2Pd
1.0
-2.415 -3.448 2.271
1.472 -1.525 4.288
-3.677 2.409 4.786
Sm La Pd
2 1 1
Direct
0.728 0.728 0.815
0.272 0.272 0.185
0.500 0.500 0.500
0.000 0.000 0.000
```

***

no.,ΔH_f (0 K) (eV/f.u.)
1,-6.39
2,-12.89
3,-1.16
4,-2.80
5,-12.81
6,-0.43